First-principles (GGA-PBEsol) data for an optimized crystal structure of ZrHgAs2Se, as listed in the Alexandria database.

The structure in POSCAR format:
```
ZrHgAs2Se
1.0
5.186 0.000 0.000
0.000 5.186 0.000
0.000 0.000 5.073
Zr Hg As Se
1 1 2 1
direct
0.000 0.000 0.000
0.500 0.500 0.500
0.000 0.500 0.000
0.500 0.000 0.000
0.000 0.000 0.500
```

## Properties
- Symmetry: P4/mmm (123)
- E_tot: -23.33 eV per cell
- Magnetic moment: 0.0 μB per formula unit